4
Lattice="0.0000 4.0965 4.0965 4.0965 0.0000 4.0965 4.0965 4.0965 0.0000" Properties=species:S:1:pos:R:3 comment="K2PtI, optimized geometry, DFT GGA-PBE" volume_a3_per_cell=137.49 relative_energy_ev_per_atom=0.1174 total_magnetization_mub_per_atom=0.249 pbc="T T T"
Pt 4.0965 4.0965 4.0965
K 6.1447 6.1447 6.1447
K 2.0482 2.0482 2.0482
I 0.0000 0.0000 0.0000